Entry 1:
The following is a DFT calculation (GGA-PBE) of a relaxed structure of CaOs2W.

Values from the calculation:
Energy above the lowest structure with this stoichiometry: 0.53 eV/f.u.
Formation energy from the elements: 9.12 kcal/mol of atoms

Cell: 4.535 4.535 4.535 Å, 60.00 60.00 60.00°
Element x y z (fractional)
Ca 0.000 0.000 0.000
Os 0.250 0.250 0.250
Os 0.750 0.750 0.750
W 0.500 0.500 0.500

=====

Entry 2:
The following is a DFT calculation (GGA-PBE) of a relaxed structure of Tc2MoPt.

Values from the calculation:
Energy above the lowest structure with this stoichiometry: 0.53 eV/f.u.
Formation energy from the elements: -0.80 kcal/mol of atoms

Cell: 4.796 4.796 4.853 Å, 99.34 99.34 33.26°
Element x y z (fractional)
Tc 0.249 0.249 0.249
Tc 0.751 0.751 0.751
Mo 0.500 0.500 0.000
Pt 0.000 0.000 0.500

=====

Entry 3:
The following is a DFT calculation (GGA-PBE) of a relaxed structure of LaV2CdCo.

Values from the calculation:
Formation energy from the elements: 36.62 kcal/mol of atoms

Cell: 4.655 4.655 4.533 Å, 90.00 90.00 90.00°
Element x y z (fractional)
La 0.000 0.000 0.000
V 0.000 0.500 0.000
V 0.500 0.000 0.000
Cd 0.500 0.500 0.500
Co 0.000 0.000 0.500

=====

Entry 4:
The following is a DFT calculation (GGA-PBE) of a relaxed structure of V3Mo.

Values from the calculation:
Energy above the lowest structure with this stoichiometry: 0.00 eV/f.u.
Formation energy from the elements: -1.81 kcal/mol of atoms

Cell: 5.030 5.030 5.030 Å, 144.75 129.29 63.26°
Element x y z (fractional)
V 0.000 0.000 0.000
V 0.254 0.754 0.500
V 0.746 0.246 0.500
Mo 0.500 0.500 0.000

=====

Entry 5:
The following is a DFT calculation (GGA-PBE) of a relaxed structure of CuNiAs2.

Values from the calculation:
Formation energy from the elements: 0.65 kcal/mol of atoms

Cell: 3.946 3.946 5.412 Å, 103.30 103.30 47.96°
Element x y z (fractional)
Cu 0.000 0.000 0.000
Ni 0.500 0.500 0.500
As 0.243 0.243 0.729
As 0.757 0.757 0.271

=====

Entry 6:
The following is a DFT calculation (GGA-PBE) of a relaxed structure of B2C.

Values from the calculation:
Energy above the lowest structure with this stoichiometry: 0.65 eV/f.u.
Formation energy from the elements: 9.29 kcal/mol of atoms

Cell: 4.438 4.438 7.269 Å, 107.72 107.72 35.85°
Element x y z (fractional)
B 0.000 0.000 0.000
B 0.211 0.211 0.976
B 0.255 0.255 0.705
B 0.521 0.521 0.161
B 0.568 0.568 0.885
B 0.638 0.638 0.416
B 0.780 0.780 0.869
B 0.801 0.801 0.298
C 0.102 0.102 0.508
C 0.338 0.338 0.202
C 0.430 0.430 0.666
C 0.940 0.940 0.555

=====

Entry 7:
The following is a DFT calculation (GGA-PBE) of a relaxed structure of Tm5ThPb3.

Values from the calculation:
Formation energy from the elements: -7.60 kcal/mol of atoms

Cell: 9.408 9.408 6.553 Å, 90.00 90.00 120.00°
Element x y z (fractional)
Tm 0.000 0.328 0.250
Tm 0.000 0.672 0.750
Tm 0.328 0.000 0.250
Tm 0.328 0.328 0.750
Tm 0.333 0.667 0.000
Tm 0.333 0.667 0.500
Tm 0.667 0.333 0.000
Tm 0.667 0.333 0.500
Tm 0.672 0.000 0.750
Tm 0.672 0.672 0.250
Th 0.000 0.000 0.000
Th 0.000 0.000 0.500
Pb 0.000 0.341 0.750
Pb 0.000 0.659 0.250
Pb 0.341 0.000 0.750
Pb 0.341 0.341 0.250
Pb 0.659 0.000 0.250
Pb 0.659 0.659 0.750

=====

Entry 8:
The following is a DFT calculation (GGA-PBE) of a relaxed structure of TbSc2Ir.

Values from the calculation:
Energy above the lowest structure with this stoichiometry: 0.09 eV/f.u.
Formation energy from the elements: -13.00 kcal/mol of atoms

Cell: 6.105 6.105 8.502 Å, 90.00 90.00 144.10°
Element x y z (fractional)
Tb 0.064 0.936 0.750
Tb 0.936 0.064 0.250
Sc 0.354 0.646 0.564
Sc 0.354 0.646 0.936
Sc 0.646 0.354 0.064
Sc 0.646 0.354 0.436
Ir 0.245 0.755 0.250
Ir 0.755 0.245 0.750

=====

Entry 9:
The following is a DFT calculation (GGA-PBE) of a relaxed structure of HfGaB3.

Values from the calculation:
Energy above the lowest structure with this stoichiometry: 1.92 eV/f.u.
Formation energy from the elements: 39.70 kcal/mol of atoms

Cell: 4.498 4.498 4.498 Å, 90.00 90.00 90.00°
Element x y z (fractional)
Hf 0.000 0.000 0.000
Ga 0.500 0.500 0.500
B 0.000 0.000 0.500
B 0.000 0.500 0.000
B 0.500 0.000 0.000

=====

Entry 10:
The following is a DFT calculation (GGA-PBE) of a relaxed structure of Tb4SnRh2.

Values from the calculation:
Formation energy from the elements: -14.93 kcal/mol of atoms

Cell: 10.159 10.159 10.159 Å, 26.54 26.54 26.54°
Element x y z (fractional)
Tb 0.114 0.114 0.114
Tb 0.298 0.298 0.298
Tb 0.702 0.702 0.702
Tb 0.886 0.886 0.886
Sn 0.500 0.500 0.500
Rh 0.401 0.401 0.401
Rh 0.599 0.599 0.599

=====

Entry 11:
The following is a DFT calculation (GGA-PBE) of a relaxed structure of La2CoRh.

Values from the calculation:
Energy above the lowest structure with this stoichiometry: 0.34 eV/f.u.
Formation energy from the elements: -7.10 kcal/mol of atoms

Cell: 3.561 3.576 7.066 Å, 90.00 90.00 90.00°
Element x y z (fractional)
La 0.000 0.000 0.248
La 0.000 0.000 0.752
Co 0.500 0.500 0.000
Rh 0.500 0.500 0.500

=====

Entry 12:
The following is a DFT calculation (GGA-PBE) of a relaxed structure of CaHo2Hf.

Values from the calculation:
Energy above the lowest structure with this stoichiometry: 0.00 eV/f.u.
Formation energy from the elements: 3.04 kcal/mol of atoms

Cell: 3.463 3.463 10.172 Å, 90.00 90.00 90.00°
Element x y z (fractional)
Ca 0.000 0.000 0.000
Ho 0.500 0.500 0.287
Ho 0.500 0.500 0.713
Hf 0.000 0.000 0.500

=====

| no. | final energy (eV for the cell shown) |
| --- | --- |
| 1 | -35.83 |
| 2 | -37.74 |
| 3 | -23.24 |
| 4 | -38.50 |
| 5 | -19.06 |
| 6 | -85.48 |
| 7 | -87.74 |
| 8 | -56.82 |
| 9 | -24.41 |
| 10 | -41.76 |
| 11 | -25.54 |
| 12 | -20.58 |